1.
First-principles (PBE-GGA) data for a relaxed TlSiHSe crystal, as listed in Alexandria via LeMat-Bulk.

Summary:
ΔE to the lowest computed polymorph   0.166 eV per atom
Crystal system   triclinic
DOS(E_F)   0.098 states/eV per atom

Cell: 2.9649 5.8478 6.3050 Å, 65.26 89.83 75.61°
Closest atoms and distances in Å follow each position.
Fractional positions:
Tl (0.4181, 0.7900, 0.2347)  2 Tl 2.96, 2 H 3.03-3.05, 2 Si 3.18-3.19, 1 Se 3.22
Si (0.8527, 0.9157, 0.6210)  1 H 1.53
H (0.9652, 0.6835, 0.8635)  1 Si 1.53
Se (0.6802, 0.2667, 0.7218)  1 Si 2.33

2.
First-principles (PBE-GGA) data for a relaxed InB2Pd2 crystal, as listed in Alexandria via LeMat-Bulk.

Summary:
E_tot   -5.29 eV/atom
Crystal system   tetragonal
DOS(E_F)   0.244 states/eV per atom

Cell: 3.0325 3.0325 7.5911 Å, 78.48 78.48 90.00°
Closest atoms and distances in Å follow each position.
Fractional positions:
B (0.7500, 0.2500, 0.5000)  4 B 2.14, 4 Pd 2.17
B (0.2500, 0.7500, 0.5000)  4 B 2.14, 4 Pd 2.17
Pd (0.3562, 0.3562, 0.2875)  4 B 2.17
Pd (0.6438, 0.6438, 0.7125)  4 B 2.17
In (0.0000, 0.0000, 0.0000)  8 Pd 3.00, 4 In 3.03

3.
First-principles (PBE-GGA) data for a relaxed Pu3UC4 crystal, as listed in Alexandria via LeMat-Bulk.

Summary:
E_tot   -11.33 eV/atom
Crystal system   orthorhombic
DOS(E_F)   2.664 states/eV per atom

Cell: 3.5401 6.1180 6.1180 Å, 111.12 90.00 90.00°
Closest atoms and distances in Å follow each position.
Fractional positions:
Pu (0.0000, 0.0000, 0.5000)  6 C 2.48-2.53
Pu (0.5000, 0.5000, 0.5000)  6 C 2.55-2.60
Pu (0.0000, 0.5000, 0.0000)  6 C 2.48-2.53
U (0.5000, 0.0000, 0.0000)  6 C 2.36-2.50
C (0.0000, 0.2247, 0.2247)  2 U 2.36, 4 Pu 2.53-2.60
C (0.5000, 0.7525, 0.2475)  5 Pu 2.48-2.55, 1 U 2.50
C (0.0000, 0.7753, 0.7753)  2 U 2.36, 4 Pu 2.53-2.60
C (0.5000, 0.2475, 0.7525)  5 Pu 2.48-2.55, 1 U 2.50

4.
First-principles (PBE-GGA) data for a relaxed Zn2NiRhI crystal, as listed in Alexandria via LeMat-Bulk.

Summary:
Crystal system   tetragonal
DOS(E_F)   0.869 states/eV per atom
Formation energy (no corrections)   0.68 eV/atom

Cell: 4.4787 5.0276 4.4787 Å, 90.00 90.00 90.00°
Closest atoms and distances in Å follow each position.
Fractional positions:
I (0.0000, 0.5000, 0.0000)  2 Ni 2.51
Ni (0.0000, 0.0000, 0.0000)  4 Zn 2.24
Zn (0.0000, 0.0000, 0.5000)  2 Ni 2.24
Zn (0.5000, 0.0000, 0.0000)  2 Ni 2.24
Rh (0.5000, 0.5000, 0.5000)  4 I 3.17, 8 Zn 3.37

5.
First-principles (PBE-GGA) data for a relaxed CrSn2Mo crystal, as listed in Alexandria via LeMat-Bulk.

Summary:
ΔE to the lowest computed polymorph   0.000 eV per atom
Crystal system   cubic
DOS(E_F)   0.699 states/eV per atom

Cell: 4.6997 4.6997 4.6997 Å, 60.00 60.00 60.00°
Closest atoms and distances in Å follow each position.
Fractional positions:
Cr (0.0000, 0.0000, 0.0000)  8 Sn 2.88
Mo (0.5000, 0.5000, 0.5000)  8 Sn 2.88
Sn (0.2500, 0.2500, 0.2500)  4 Cr 2.88, 4 Mo 2.88
Sn (0.7500, 0.7500, 0.7500)  4 Cr 2.88, 4 Mo 2.88

6.
First-principles (PBE-GGA) data for a relaxed LiVZn crystal, as listed in Alexandria via LeMat-Bulk.

Summary:
ΔE to the lowest computed polymorph   0.162 eV per atom
Crystal system   triclinic
DOS(E_F)   0.610 states/eV per atom

Cell: 3.9279 5.5163 4.5974 Å, 108.04 110.41 86.57°
Closest atoms and distances in Å follow each position.
Fractional positions:
Zn (0.6416, 0.1885, 0.5431)  6 V 2.63-2.80, 2 Zn 2.64-2.90, 3 Li 2.65-2.76
Zn (0.2837, 0.5341, 0.8494)  5 Li 2.56-2.83, 1 Zn 2.64, 3 V 2.66-2.80
V (0.2766, 0.0718, 0.9118)  1 V 1.97
V (0.0088, 0.2953, 0.1734)  1 V 1.97
Li (0.6258, 0.6865, 0.5323)  3 Li 2.58-2.77, 5 Zn 2.63-2.82
Li (0.9526, 0.8249, 0.2051)  3 Zn 2.56-2.83, 3 Li 2.58-2.77, 2 V 2.67-2.80

7.
First-principles (PBE-GGA) data for a relaxed ReIrS2N crystal, as listed in Alexandria via LeMat-Bulk.

Summary:
ΔE to the lowest computed polymorph   0.000 eV per atom
Crystal system   tetragonal
DOS(E_F)   1.104 states/eV per atom
Formation energy (no corrections)   0.97 eV/atom

Cell: 4.7220 4.7220 3.6678 Å, 90.00 90.00 90.00°
Closest atoms and distances in Å follow each position.
Fractional positions:
Re (0.0000, 0.0000, 0.0000)  2 N 1.83
S (0.0000, 0.5000, 0.0000)  2 Re 2.36
S (0.5000, 0.0000, 0.0000)  2 Re 2.36
Ir (0.5000, 0.5000, 0.5000)  8 S 2.99, 4 N 3.34
N (0.0000, 0.0000, 0.5000)  2 Re 1.83

8.
First-principles (PBE-GGA) data for a relaxed Y2Zn12Cu3Rh crystal, as listed in Alexandria via LeMat-Bulk.

Summary:
E_tot   -2.74 eV/atom
Crystal system   trigonal
DOS(E_F)   0.518 states/eV per atom

Cell: 12.5178 12.5178 12.5178 Å, 25.15 25.15 25.15°
Closest atoms and distances in Å follow each position.
Fractional positions:
Y (0.6448, 0.6448, 0.6448)  9 Zn 3.00-3.24, 3 Rh 3.25
Y (0.3552, 0.3552, 0.3552)  9 Zn 3.00-3.24, 3 Rh 3.25
Zn (0.3944, 0.3944, 0.8694)  2 Cu 2.51, 4 Zn 2.59-2.64
Zn (0.8878, 0.8878, 0.3934)  1 Rh 2.59, 6 Zn 2.64-2.76
Zn (0.3934, 0.8878, 0.8878)  1 Rh 2.59, 6 Zn 2.64-2.76
Zn (0.8694, 0.3944, 0.3944)  2 Cu 2.51, 4 Zn 2.59-2.64
Zn (0.8878, 0.3934, 0.8878)  1 Rh 2.59, 6 Zn 2.64-2.76
Zn (0.3944, 0.8694, 0.3944)  2 Cu 2.51, 4 Zn 2.59-2.64
Zn (0.6056, 0.6056, 0.1306)  2 Cu 2.51, 4 Zn 2.59-2.64
Zn (0.1122, 0.1122, 0.6066)  1 Rh 2.59, 6 Zn 2.64-2.76
Zn (0.6066, 0.1122, 0.1122)  1 Rh 2.59, 6 Zn 2.64-2.76
Zn (0.1306, 0.6056, 0.6056)  2 Cu 2.51, 4 Zn 2.59-2.64
Zn (0.1122, 0.6066, 0.1122)  1 Rh 2.59, 6 Zn 2.64-2.76
Zn (0.6056, 0.1306, 0.6056)  2 Cu 2.51, 4 Zn 2.59-2.64
Cu (0.5000, 0.0000, 0.0000)  4 Zn 2.51, 4 Cu 2.73
Cu (0.0000, 0.5000, 0.0000)  4 Zn 2.51, 4 Cu 2.73
Cu (0.0000, 0.0000, 0.5000)  4 Zn 2.51, 4 Cu 2.73
Rh (0.0000, 0.0000, 0.0000)  6 Zn 2.59